1.
DFT (PBE) results for ReSbAu2 after structural relaxation.

E (eV/atom): -5.16
V (Å³ per atom): 18.1
Total magnetic moment (μB/f.u.): 0.02

Cell: 4.6754 4.6754 4.6754 Å, 60.00 60.00 60.00°
With the nearest neighbours (Å) after each atom.
Fractional positions:
Au1 0.0000 0.0000 0.0000  4 Au 2.86, 4 Re 2.86
Au2 0.7500 0.7500 0.7500  4 Au 2.86, 4 Sb 2.86
Re1 0.2500 0.2500 0.2500  4 Sb 2.86, 4 Au 2.86
Sb1 0.5000 0.5000 0.5000  4 Re 2.86, 4 Au 2.86

2.
DFT (PBE) results for Lu3Sc3FeTe2 after structural relaxation.

Excess energy over the best structure of this formula in the dataset (meV/atom): 0
V (Å³ per atom): 23.3
Total magnetic moment (μB/f.u.): 0.01

Cell: 7.8674 7.8674 3.9136 Å, 90.00 90.00 120.00°
With the nearest neighbours (Å) after each atom.
Fractional positions:
Fe1 0.0000 0.0000 0.0000  6 Sc 2.66
Lu1 0.3828 0.0000 0.0000  1 Fe 3.01, 4 Te 3.14, 4 Sc 3.27
Lu2 0.0000 0.3828 0.0000  1 Fe 3.01, 4 Te 3.14, 4 Sc 3.27
Lu3 0.6172 0.6172 0.0000  1 Fe 3.01, 4 Te 3.14, 4 Sc 3.27
Sc1 0.7714 0.0000 0.5000  2 Fe 2.66
Sc2 0.2286 0.2286 0.5000  2 Fe 2.66
Sc3 0.0000 0.7714 0.5000  2 Fe 2.66
Te1 0.6667 0.3333 0.5000  3 Sc 3.12, 6 Lu 3.14
Te2 0.3333 0.6667 0.5000  3 Sc 3.12, 6 Lu 3.14